A relaxed CdInGa2Ni crystal. Source: Alexandria via LeMat-Bulk, functional PBE-GGA.

a = 4.6501 Å, b = 4.6501 Å, c = 5.0372 Å
α = 90.00°, β = 90.00°, γ = 90.00°
Fractional coordinates of all 5 atoms:
Cd: 0.0000 0.0000 0.0000
In: 0.5000 0.5000 0.0000
Ga: 0.0000 0.5000 0.5000
Ga: 0.5000 0.0000 0.5000
Ni: 0.5000 0.5000 0.5000

SG: P4/mmm
raw total energy: -3.132 eV/atom
E above lowest polymorph: 0 meV/atom


A relaxed Pm2Pr4Tm3 crystal. Source: Alexandria via LeMat-Bulk, functional PBE-GGA.

a = 5.7222 Å, b = 5.7250 Å, c = 10.6365 Å
α = 89.84°, β = 89.88°, γ = 60.07°
Fractional coordinates of all 9 atoms:
Pm: 0.1666 0.1672 0.1689
Pm: 0.8334 0.8328 0.8311
Pr: 0.1668 0.1659 0.8333
Pr: 0.4990 0.5003 0.6603
Pr: 0.5010 0.4997 0.3397
Pr: 0.8332 0.8341 0.1667
Tm: 0.1668 0.1668 0.5010
Tm: 0.5000 0.5000 0.0000
Tm: 0.8332 0.8332 0.4990

SG: P-1
raw total energy: -4.619 eV/atom
E above lowest polymorph: 0 meV/atom


A relaxed Er2Ga3Hg crystal. Source: Alexandria via LeMat-Bulk, functional PBE-GGA.

a = 8.9969 Å, b = 8.5675 Å, c = 5.7729 Å
α = 74.89°, β = 66.83°, γ = 38.28°
Fractional coordinates of all 12 atoms:
Er: 0.2488 0.7512 0.7512
Er: 0.2500 0.2500 0.2500
Er: 0.7500 0.7500 0.7500
Er: 0.7512 0.2488 0.2488
Ga: 0.1743 0.6627 0.3373
Ga: 0.3373 0.8257 0.1743
Ga: 0.3381 0.3381 0.6619
Ga: 0.6619 0.6619 0.3381
Ga: 0.6627 0.1743 0.8257
Ga: 0.8257 0.3373 0.6627
Hg: 0.1669 0.1669 0.8331
Hg: 0.8331 0.8331 0.1669

SG: Fmmm
raw total energy: -3.611 eV/atom
E above lowest polymorph: 15 meV/atom


A relaxed KZrMo2 crystal. Source: Alexandria via LeMat-Bulk, functional PBE-GGA.

a = 3.0145 Å, b = 4.2307 Å, c = 8.4039 Å
α = 90.00°, β = 99.94°, γ = 90.00°
Fractional coordinates of all 4 atoms:
K: 0.0000 0.0000 0.0000
Zr: 0.2332 0.5000 0.6145
Mo: 0.5198 0.0000 0.4386
Mo: 0.7929 0.5000 0.3245

SG: Pm
raw total energy: -7.142 eV/atom
E above lowest polymorph: 131 meV/atom


A relaxed NdSmSO2 crystal. Source: Alexandria via LeMat-Bulk, functional PBE-GGA.

a = 6.7601 Å, b = 6.7601 Å, c = 6.7601 Å
α = 146.56°, β = 146.56°, γ = 48.02°
Fractional coordinates of all 5 atoms:
Nd: 0.0000 0.0000 0.0000
Sm: 0.6980 0.6980 0.0000
S: 0.3503 0.3503 0.0000
O: 0.1018 0.6018 0.5000
O: 0.6018 0.1018 0.5000

SG: I4mm
ΔE_f (raw): -2.972 eV per atom
raw total energy: -7.678 eV/atom


A relaxed MgZn2P crystal. Source: Alexandria via LeMat-Bulk, functional PBE-GGA.

a = 3.0175 Å, b = 3.0175 Å, c = 7.7356 Å
α = 90.00°, β = 90.00°, γ = 100.57°
Fractional coordinates of all 4 atoms:
Mg: 0.0000 0.0000 0.0000
Zn: 0.5000 0.5000 0.2730
Zn: 0.5000 0.5000 0.7270
P: 0.0000 0.0000 0.5000

SG: Cmmm
raw total energy: -2.209 eV/atom